DFT (PBE) results for a geometry-optimized NaCNO2 structure.

Cell and atoms, written as POSCAR:
```
NaCNO2
1.0
4.5121 0.0000 0.0000
0.0000 4.5121 0.0000
0.0000 0.0000 2.4854
C N O Na
1 1 2 1
direct
0.0000 0.0000 0.0000 C
0.0000 0.0000 0.5000 N
0.5000 0.0000 0.0000 O
0.0000 0.5000 0.0000 O
0.5000 0.5000 0.5000 Na
```

Total magnetic moment: 2.01 μB per formula unit
Energy: -5.187 eV/atom
Space-group type: P4/mmm